(1)
The following is a DFT calculation (GGA-PBE) of a geometry-optimized CoNi2SbN structure.

Lattice parameters (Å, degrees): 3.9532 3.9532 3.8493 90.00 90.00 90.00
With the nearest neighbours (Å) after each atom.
Space group P4/mmm (No. 123)
Unique sites:
Co1 0.0000 0.0000 0.0000 [1 per cell]  2 N 1.92
Ni1 0.0000 0.5000 0.5000 [2 per cell]  2 N 1.98
Sb1 0.5000 0.5000 0.0000 [1 per cell]  8 Ni 2.76, 4 Co 2.80
N1 0.0000 0.0000 0.5000 [1 per cell]  2 Co 1.92, 4 Ni 1.98



(2)
The following is a DFT calculation (GGA-PBE) of a geometry-optimized NaEuTl2 structure.

Lattice parameters (Å, degrees): 5.5164 5.5164 3.9323 90.00 90.00 90.00
With the nearest neighbours (Å) after each atom.
Space group P4/mmm (No. 123)
Unique sites:
Na1 0.0000 0.0000 0.0000 [1 per cell]  8 Tl 3.39
Eu1 0.5000 0.5000 0.0000 [1 per cell]  8 Tl 3.39
Tl1 0.0000 0.5000 0.5000 [2 per cell]  4 Eu 3.39, 4 Na 3.39

Calculated values
Its formation energy is -0.28 eV/atom.



(3)
The following is a DFT calculation (GGA-PBE) of a geometry-optimized TbSm6DyY2 structure.

Lattice parameters (Å, degrees): 9.2467 15.2226 9.5886 90.00 96.87 90.00
With the nearest neighbours (Å) after each atom.
Space group C2/c (No. 15)
Unique sites:
Tb1 0.0000 0.0286 0.2500 [4 per cell]  4 Y 3.41-3.45, 4 Sm 3.57-3.69
Sm1 0.0616 0.1798 0.9440 [8 per cell]  7 Sm 3.44-3.76, 1 Y 3.51, 2 Tb 3.69-3.83
Sm2 0.0976 0.3899 0.1184 [8 per cell]  4 Sm 3.24-3.61, 3 Y 3.30-3.48, 2 Dy 3.46-3.55
Sm3 0.2108 0.2241 0.3137 [8 per cell]  1 Sm 3.24, 1 Y 3.46, 1 Dy 3.47, 1 Tb 3.57
Dy1 0.0000 0.4096 0.7500 [4 per cell]  6 Sm 3.46-3.55, 2 Y 3.55
Y1 0.2497 0.0491 0.5464 [8 per cell]  5 Sm 3.30-3.51, 2 Tb 3.41-3.45, 1 Dy 3.55

Calculated values
Its formation energy is 0.12 eV/atom.



(4)
The following is a DFT calculation (GGA-PBE) of a geometry-optimized NaAc2PbO5 structure.

Lattice parameters (Å, degrees): 7.2189 7.2189 6.5742 90.00 90.00 90.00
With the nearest neighbours (Å) after each atom.
Space group P4/mbm (No. 127)
Unique sites:
Na1 0.0000 0.0000 0.0000 [2 per cell]  10 O 3.25-3.29, 4 Pb 3.61
Ac1 0.1787 0.3213 0.5000 [4 per cell]  4 O 2.41-2.65
Pb1 0.0000 0.5000 0.0000 [2 per cell]  4 O 2.24
O1 0.0000 0.0000 0.5000 [2 per cell]  4 Ac 2.65
O2 0.1435 0.6435 0.2585 [8 per cell]  1 Pb 2.24, 1 Ac 2.41



(5)
The following is a DFT calculation (GGA-PBE) of a geometry-optimized AcB2Pd6 structure.

Lattice parameters (Å, degrees): 10.8384 10.8384 10.8384 90.00 90.00 90.00
With the nearest neighbours (Å) after each atom.
Space group Fd-3m (No. 227, origin choice 2)
Unique sites:
Ac1 0.1250 0.1250 0.1250 [8 per cell]  6 Pd 3.22
B1 0.0000 0.0000 0.5000 [16 per cell]  6 Pd 2.10
Pd1 0.0782 0.3750 0.8750 [48 per cell]  2 B 2.10

Calculated values
Its formation energy is -0.45 eV/atom.



(6)
The following is a DFT calculation (GGA-PBE) of a geometry-optimized NaGaHg2 structure.

Lattice parameters (Å, degrees): 4.5899 4.5899 20.0272 90.00 90.00 90.00
With the nearest neighbours (Å) after each atom.
Space group I-42d (No. 122)
Unique sites:
Na1 0.0000 0.0000 0.0000 [4 per cell]  4 Hg 3.02, 4 Ga 3.25
Ga1 0.0000 0.0000 0.5000 [4 per cell]  4 Hg 2.95, 4 Na 3.25
Hg1 0.2316 0.2500 0.6250 [8 per cell]  2 Ga 2.95, 2 Na 3.02, 2 Hg 3.13

Calculated values
Its formation energy is 0.01 eV/atom.



(7)
The following is a DFT calculation (GGA-PBE) of a geometry-optimized HoScGe structure.

Lattice parameters (Å, degrees): 3.5483 3.5483 11.0165 90.00 90.00 90.00
With the nearest neighbours (Å) after each atom.
Space group I4mm (No. 107)
Unique sites:
Ho1 0.0000 0.0000 0.0000 [2 per cell]  4 Ge 3.10, 5 Sc 3.27-3.36
Sc1 0.0000 0.0000 0.7032 [2 per cell]  4 Ge 2.89
Ge1 0.0000 0.0000 0.3342 [2 per cell]  4 Sc 2.89, 4 Ho 3.10

Calculated values
The energy above the most stable polymorph in this dataset is 81 kJ/mol of formula units. Its formation energy is -0.43 eV/atom.



(8)
The following is a DFT calculation (GGA-PBE) of a geometry-optimized Ca3InAg4 structure.

Lattice parameters (Å, degrees): 5.0903 5.0903 7.3924 90.00 90.00 90.00
With the nearest neighbours (Å) after each atom.
Space group P4/mmm (No. 123)
Unique sites:
Ca1 0.0000 0.0000 0.0000 [1 per cell]  8 Ag 3.20
Ca2 0.0000 0.0000 0.5000 [1 per cell]  8 Ag 3.10
Ca3 0.5000 0.5000 0.0000 [1 per cell]  8 Ag 3.20
In1 0.5000 0.5000 0.5000 [1 per cell]  8 Ag 3.10
Ag1 0.0000 0.5000 0.2614 [4 per cell]  2 In 3.10, 6 Ca 3.10-3.20

Calculated values
Its formation energy is -0.28 eV/atom.



(9)
The following is a DFT calculation (GGA-PBE) of a geometry-optimized CsLiCuF6 structure.

Lattice parameters (Å, degrees): 6.9771 7.6537 10.2170 90.00 90.00 90.00
With the nearest neighbours (Å) after each atom.
Space group Imma (No. 74)
Unique sites:
Cs1 0.0000 0.2500 0.1179 [4 per cell]  5 F 2.95-3.12
Li1 0.2500 0.2500 0.7500 [4 per cell]  6 F 1.92-2.13
Cu1 0.0000 0.0000 0.5000 [4 per cell]  6 F 1.82-1.98
F1 0.0000 0.2500 0.4488 [4 per cell]  2 Cu 1.98
F2 0.0000 0.2500 0.8294 [4 per cell]  2 Li 1.92
F3 0.1862 0.0396 0.6207 [16 per cell]  1 Cu 1.82



(10)
The following is a DFT calculation (GGA-PBE) of a geometry-optimized PaSnPd4 structure.

Lattice parameters (Å, degrees): 7.6219 7.6219 7.6219 90.00 90.00 90.00
With the nearest neighbours (Å) after each atom.
Space group F-43m (No. 216)
Unique sites:
Pa1 0.0000 0.0000 0.0000 [4 per cell]  12 Pd 3.16, 4 Sn 3.30
Sn1 0.2500 0.2500 0.2500 [4 per cell]  12 Pd 3.16, 4 Pa 3.30
Pd1 0.1250 0.1250 0.6250 [16 per cell]  6 Pd 2.69-2.70

Calculated values
The energy above the most stable polymorph in this dataset is 0 kJ/mol of formula units. Its formation energy is -0.54 eV/atom.



(11)
The following is a DFT calculation (GGA-PBE) of a geometry-optimized BaInAs2 structure.

Lattice parameters (Å, degrees): 4.8911 4.8911 4.5550 90.00 90.00 90.00
With the nearest neighbours (Å) after each atom.
Space group P4/mmm (No. 123)
Unique sites:
Ba1 0.0000 0.0000 0.0000 [1 per cell]  8 As 3.34, 4 In 3.46
In1 0.5000 0.5000 0.0000 [1 per cell]  8 As 3.34, 4 Ba 3.46
As1 0.0000 0.5000 0.5000 [2 per cell]  4 Ba 3.34, 4 In 3.34, 4 As 3.46

Calculated values
Its formation energy is -0.33 eV/atom.



(12)
The following is a DFT calculation (GGA-PBE) of a geometry-optimized SnPdAu2Br structure.

Lattice parameters (Å, degrees): 5.1721 5.1721 4.8075 90.00 90.00 90.00
With the nearest neighbours (Å) after each atom.
Space group P4/mmm (No. 123)
Unique sites:
Sn1 0.0000 0.0000 0.0000 [1 per cell]  8 Au 3.53, 4 Pd 3.66
Pd1 0.5000 0.5000 0.0000 [1 per cell]  2 Br 2.40
Au1 0.0000 0.5000 0.5000 [2 per cell]  2 Br 2.59
Br1 0.5000 0.5000 0.5000 [1 per cell]  2 Pd 2.40, 4 Au 2.59



Short version: density of states at the Fermi level = 5.93 10.32 58.42 4.50 37.85 6.91 4.88 4.17 26.18 22.68 2.16 3.03 states/eV per cell, in the order given.
Short version: raw total energy = -6.125 -4.358 -4.926 -6.332 -5.852 -1.231 -5.601 -2.794 -3.964 -6.249 -3.822 -2.814 eV per atom, in the order given.